(1)
PrTmCoHg after structural relaxation, computed with PBE.

It has space group F-43m (No. 216), with a = 7.2199 Å, b = 7.2199 Å, c = 7.2199 Å, α = 90.00°, β = 90.00° and γ = 90.00°. The inequivalent atoms are Pr at (0.0000, 0.0000, 0.0000), Tm at (0.0000, 0.0000, 0.5000), Co at (0.2500, 0.2500, 0.2500) and Hg at (0.2500, 0.2500, 0.7500).

The formation energy comes out at -159 meV per atom. The uncorrected energy is -69.18 eV/cell.



(2)
CoHg2Pt after structural relaxation, computed with PBE.

It has space group Pmmm (No. 47), with a = 2.9706 Å, b = 3.7818 Å, c = 6.1112 Å, α = 90.00°, β = 90.00° and γ = 90.00°. The inequivalent atoms are Co at (0.0000, 0.0000, 0.0000), Hg at (0.5000, 0.5000, 0.2390) and Pt at (0.0000, 0.0000, 0.5000).

The formation energy comes out at 304 meV per atom. The uncorrected energy is -12.53 eV/cell.



(3)
CoHg2Pt after structural relaxation, computed with PBE.

It has space group C2/m (No. 12), with a = 5.9346 Å, b = 7.9158 Å, c = 2.9414 Å, α = 90.00°, β = 90.27° and γ = 90.00°. The inequivalent atoms are Co at (0.0000, 0.0000, 0.0000), Hg at (0.2500, 0.2500, 0.5000) and Pt at (0.0000, 0.5000, 0.0000).

The formation energy comes out at 319 meV per atom. The uncorrected energy is -24.95 eV/cell.



(4)
CoHg2Pt after structural relaxation, computed with PBE.

It has space group I4/mmm (No. 139), with a = 4.2083 Å, b = 4.2083 Å, c = 7.7793 Å, α = 90.00°, β = 90.00° and γ = 90.00°. The inequivalent atoms are Co at (0.0000, 0.0000, 0.0000), Hg at (0.0000, 0.5000, 0.2500) and Pt at (0.0000, 0.0000, 0.5000).

The formation energy comes out at 311 meV per atom. The uncorrected energy is -25.02 eV/cell.



(5)
CoHgPt3 after structural relaxation, computed with PBE.

It has space group Pm-3m (No. 221), with a = 4.6038 Å, b = 4.6038 Å, c = 4.6038 Å, α = 90.00°, β = 90.00° and γ = 90.00°. The inequivalent atoms are Co at (0.0000, 0.0000, 0.0000), Hg at (0.5000, 0.5000, 0.5000) and Pt at (0.0000, 0.0000, 0.5000).

The formation energy comes out at 811 meV per atom. The uncorrected energy is -21.48 eV/cell. The energy above the lowest structure with this stoichiometry is 0.0 meV/atom.



(6)
CoHg2Pt after structural relaxation, computed with PBE.

It has space group F-43m (No. 216), with a = 6.5391 Å, b = 6.5391 Å, c = 6.5391 Å, α = 90.00°, β = 90.00° and γ = 90.00°. The inequivalent atoms are Co at (0.0000, 0.0000, 0.0000), Hg at (0.0000, 0.0000, 0.5000), Hg at (0.2500, 0.2500, 0.7500) and Pt at (0.2500, 0.2500, 0.2500).

The formation energy comes out at 400 meV per atom. The uncorrected energy is -48.60 eV/cell.



Question: The lowest uncorrected energy belongs to which entry?
Answer: PrTmCoHg



Copy entry 6 word for word.
CoHg2Pt after structural relaxation, computed with PBE.

It has space group F-43m (No. 216), with a = 6.5391 Å, b = 6.5391 Å, c = 6.5391 Å, α = 90.00°, β = 90.00° and γ = 90.00°. The inequivalent atoms are Co at (0.0000, 0.0000, 0.0000), Hg at (0.0000, 0.0000, 0.5000), Hg at (0.2500, 0.2500, 0.7500) and Pt at (0.2500, 0.2500, 0.2500).

The formation energy comes out at 400 meV per atom. The uncorrected energy is -48.60 eV/cell.